Li3FeF6 | GGA+U | relaxed

Results
* raw total energy: -5.02 eV/atom

Lattice parameters (Å, degrees): 5.1351 5.1351 9.4434 90.00 90.00 120.00
Closest atoms and distances in Å follow each position.
Element x y z (fractional)
1 Li 0.6667 0.3333 0.4592  6 F 1.97-2.17
2 Li 0.6667 0.3333 0.7500  6 F 2.09
3 Li 0.3333 0.6667 0.2500  6 F 2.09
4 Li 0.3333 0.6667 0.5408  6 F 1.97-2.17
5 Li 0.3333 0.6667 0.9592  6 F 1.97-2.17
6 Li 0.6667 0.3333 0.0408  6 F 1.97-2.17
7 Fe 0.0000 0.0000 0.5000  6 F 1.97
8 Fe 0.0000 0.0000 0.0000  6 F 1.97
9 F 0.3083 0.9702 0.3895  1 Fe 1.97, 3 Li 1.97-2.17
10 F 0.3381 0.0298 0.8895  1 Fe 1.97, 3 Li 1.97-2.17
11 F 0.3381 0.3083 0.6105  1 Fe 1.97, 3 Li 1.97-2.17
12 F 0.3083 0.3381 0.1105  1 Fe 1.97, 3 Li 1.97-2.17
13 F 0.6917 0.0298 0.6105  1 Fe 1.97, 3 Li 1.97-2.17
14 F 0.6619 0.9702 0.1105  1 Fe 1.97, 3 Li 1.97-2.17
15 F 0.9702 0.3083 0.8895  1 Fe 1.97, 3 Li 1.97-2.17
16 F 0.0298 0.3381 0.3895  1 Fe 1.97, 3 Li 1.97-2.17
17 F 0.6917 0.6619 0.8895  1 Fe 1.97, 3 Li 1.97-2.17
18 F 0.6619 0.6917 0.3895  1 Fe 1.97, 3 Li 1.97-2.17
19 F 0.0298 0.6917 0.1105  1 Fe 1.97, 3 Li 1.97-2.17
20 F 0.9702 0.6619 0.6105  1 Fe 1.97, 3 Li 1.97-2.17